Entry 1:
The following is a PBE calculation of a geometry-optimized PrErIn3 structure, from Alexandria via LeMat-Bulk.

a = 14.9278 Å, b = 14.9278 Å, c = 4.9256 Å
α = 90.00°, β = 90.00°, γ = 165.63°
Positions (direct):
Pr1 0.0748 0.9252 0.7500
Pr2 0.9252 0.0748 0.2500
Er1 0.2134 0.7866 0.2500
Er2 0.7866 0.2134 0.7500
In1 0.3194 0.6806 0.2500
In2 0.3768 0.6232 0.7500
In3 0.4751 0.5249 0.7500
In4 0.5249 0.4751 0.2500
In5 0.6232 0.3768 0.2500
In6 0.6806 0.3194 0.7500

The value obtained for the energy above the lowest structure with this stoichiometry is 0.000 eV per atom. As for the density: 7.957 g/cm3. The raw total energy is -3.9558 eV/atom. Its density of states at the Fermi level is 5.96 states/eV/cell.

=====

Entry 2:
The following is a PBE calculation of a geometry-optimized Pr5ErIn3 structure, from Alexandria via LeMat-Bulk.

a = 9.6314 Å, b = 9.6314 Å, c = 6.9456 Å
α = 90.00°, β = 90.00°, γ = 120.00°
Positions (direct):
Pr1 0.0000 0.3387 0.2500
Pr2 0.0000 0.6613 0.7500
Pr3 0.3333 0.6667 0.0000
Pr4 0.3333 0.6667 0.5000
Pr5 0.3387 0.0000 0.2500
Pr6 0.3387 0.3387 0.7500
Pr7 0.6613 0.0000 0.7500
Pr8 0.6613 0.6613 0.2500
Pr9 0.6667 0.3333 0.0000
Pr10 0.6667 0.3333 0.5000
Er1 0.0000 0.0000 0.0000
Er2 0.0000 0.0000 0.5000
In1 0.0000 0.3227 0.7500
In2 0.0000 0.6773 0.2500
In3 0.3227 0.0000 0.7500
In4 0.3227 0.3227 0.2500
In5 0.6773 0.0000 0.2500
In6 0.6773 0.6773 0.7500

As for the density: 7.239 g/cm3. The raw total energy is -4.4155 eV/atom. Its density of states at the Fermi level is 22.68 states/eV/cell.

=====

Entry 3:
The following is a PBE calculation of a geometry-optimized PrEr4In4 structure, from Alexandria via LeMat-Bulk.

a = 7.2531 Å, b = 7.2531 Å, c = 10.4779 Å
α = 90.00°, β = 90.00°, γ = 90.00°
Positions (direct):
Pr1 0.2500 0.7500 0.2500
Pr2 0.7500 0.2500 0.7500
Er1 0.0151 0.2500 0.1585
Er2 0.2500 0.0151 0.6585
Er3 0.2500 0.4849 0.6585
Er4 0.4849 0.2500 0.1585
Er5 0.5151 0.7500 0.8415
Er6 0.7500 0.5151 0.3415
Er7 0.7500 0.9849 0.3415
Er8 0.9849 0.7500 0.8415
In1 0.0405 0.2500 0.4557
In2 0.2500 0.0405 0.9557
In3 0.2500 0.4595 0.9557
In4 0.4595 0.2500 0.4557
In5 0.5405 0.7500 0.5443
In6 0.7500 0.5405 0.0443
In7 0.7500 0.9595 0.0443
In8 0.9595 0.7500 0.5443

As for the density: 7.647 g/cm3. The raw total energy is -3.9612 eV/atom. Its density of states at the Fermi level is 12.90 states/eV/cell.

=====

Entry 4:
The following is a PBE calculation of a geometry-optimized Pr2Er2In structure, from Alexandria via LeMat-Bulk.

a = 5.4835 Å, b = 5.4835 Å, c = 12.2270 Å
α = 90.00°, β = 90.00°, γ = 120.00°
Positions (direct):
Pr1 0.3333 0.6667 0.0892
Pr2 0.3333 0.6667 0.4108
Pr3 0.6667 0.3333 0.5892
Pr4 0.6667 0.3333 0.9108
Er1 0.0000 0.0000 0.0000
Er2 0.0000 0.0000 0.5000
Er3 0.3333 0.6667 0.7500
Er4 0.6667 0.3333 0.2500
In1 0.0000 0.0000 0.2500
In2 0.0000 0.0000 0.7500

The value obtained for the energy above the lowest structure with this stoichiometry is 0.000 eV per atom. As for the density: 7.626 g/cm3. The raw total energy is -4.3315 eV/atom. Its density of states at the Fermi level is 14.56 states/eV/cell.